1.
This record from the Alexandria database describes a relaxed structure of RbCa2MnO. The functional is GGA+U.

Output
* V: 403.6 Å³ per cell
* M_tot: 6.16 μB/cell
* energy above the most stable polymorph in this dataset: 750 meV/atom
* space group: P4/mmm

Cell: 7.648 7.648 6.901 Å, 90.00 90.00 90.00°
Fractional coordinates of all 5 atoms:
Rb 0.000 0.000 0.000
Ca 0.000 0.500 0.000
Ca 0.500 0.000 0.000
Mn 0.000 0.000 0.500
O 0.500 0.500 0.500

2.
This record from the Alexandria database describes a relaxed structure of RbCa2MnO. The functional is GGA+U.

Output
* V: 216.3 Å³ per cell
* M_tot: 5.10 μB/cell
* energy above the most stable polymorph in this dataset: 0 meV/atom
* space group: P4/mmm

Cell: 5.724 5.724 6.603 Å, 90.00 90.00 90.00°
Fractional coordinates of all 5 atoms:
Rb 0.000 0.000 0.000
Ca 0.000 0.500 0.500
Ca 0.500 0.000 0.500
Mn 0.000 0.000 0.500
O 0.500 0.500 0.000

3.
This record from the Alexandria database describes a relaxed structure of RbCaMnO4. The functional is GGA+U.

Output
* V: 178.6 Å³ per cell
* M_tot: 2.00 μB/cell
* uncorrected energy: -5.9744 eV/atom
* space group: F-43m

Cell: 6.321 6.321 6.321 Å, 60.00 60.00 60.00°
Fractional coordinates of all 7 atoms:
Rb 0.000 0.000 0.000
Ca 0.750 0.750 0.750
Mn 0.500 0.500 0.500
O 0.169 0.610 0.610
O 0.610 0.169 0.610
O 0.610 0.610 0.169
O 0.610 0.610 0.610

4.
This record from the Alexandria database describes a relaxed structure of CaMnRe2O8. The functional is GGA+U.

Output
* V: 180.8 Å³ per cell
* M_tot: 1.01 μB/cell
* uncorrected energy: -7.6411 eV/atom
* space group: P-3m1

Cell: 5.941 5.941 5.916 Å, 90.00 90.00 120.00°
Fractional coordinates of all 12 atoms:
Ca 0.000 0.000 0.000
Mn 0.000 0.000 0.500
Re 0.333 0.667 0.359
Re 0.667 0.333 0.641
O 0.160 0.321 0.284
O 0.160 0.840 0.284
O 0.321 0.160 0.716
O 0.333 0.667 0.656
O 0.667 0.333 0.344
O 0.679 0.840 0.284
O 0.840 0.160 0.716
O 0.840 0.679 0.716

5.
This record from the Alexandria database describes a relaxed structure of CaMnReO6. The functional is GGA+U.

Output
* V: 223.4 Å³ per cell
* M_tot: 8.00 μB/cell
* uncorrected energy: -7.5776 eV/atom
* space group: P4_2nm

Cell: 4.819 4.819 9.617 Å, 90.00 90.00 90.00°
Fractional coordinates of all 18 atoms:
Ca 0.000 0.000 0.000
Ca 0.500 0.500 0.500
Mn 0.000 0.000 0.326
Mn 0.500 0.500 0.826
Re 0.000 0.000 0.668
Re 0.500 0.500 0.168
O 0.174 0.174 0.517
O 0.211 0.211 0.804
O 0.225 0.225 0.185
O 0.275 0.725 0.685
O 0.289 0.711 0.304
O 0.326 0.674 0.017
O 0.674 0.326 0.017
O 0.711 0.289 0.304
O 0.725 0.275 0.685
O 0.775 0.775 0.185
O 0.789 0.789 0.804
O 0.826 0.826 0.517

6.
This record from the Alexandria database describes a relaxed structure of Ca2MnRuO6. The functional is GGA+U.

Output
* V: 236.1 Å³ per cell
* M_tot: 13.90 μB/cell
* uncorrected energy: -7.0076 eV/atom
* space group: P2_1/c

Cell: 5.500 5.685 9.296 Å, 90.00 125.69 90.00°
Fractional coordinates of all 20 atoms:
Ca 0.239 0.058 0.250
Ca 0.239 0.442 0.750
Ca 0.761 0.558 0.250
Ca 0.761 0.942 0.750
Mn 0.500 0.000 0.000
Mn 0.500 0.500 0.500
Ru 0.000 0.000 0.500
Ru 0.000 0.500 0.000
O 0.141 0.212 0.951
O 0.141 0.288 0.451
O 0.244 0.693 0.953
O 0.244 0.807 0.453
O 0.349 0.032 0.754
O 0.349 0.468 0.254
O 0.651 0.532 0.746
O 0.651 0.968 0.246
O 0.756 0.193 0.547
O 0.756 0.307 0.047
O 0.859 0.712 0.549
O 0.859 0.788 0.049